# 1
## NiRh (SCAN)

Data for a PBEsol-optimized structure of NiRh.

```
data_NiRh
_chemical_formula_sum 'Ni2 Rh2'
_cell_length_a 3.991
_cell_length_b 3.991
_cell_length_c 4.752
_cell_angle_alpha 90.00
_cell_angle_beta 90.00
_cell_angle_gamma 120.00
_space_group_name_H-M_alt 'P 1'
_space_group_IT_number 1
loop_
_space_group_symop_operation_xyz
'x,y,z'
loop_
_atom_site_label
_atom_site_fract_x
_atom_site_fract_y
_atom_site_fract_z
_atom_site_occupancy
Ni1 0.667 0.333 0.250 1
Ni2 0.333 0.667 0.750 1
Rh1 0.333 0.667 0.250 1
Rh2 0.667 0.333 0.750 1
```

## Properties
For the formation energy, the calculation gives 0.98 eV/atom. Its size of the total moment is 3.37 Bohr magnetons per cell. For the total energy, the calculation gives -23.99 eV/atom. The calculation puts the volume at 66 Å³ per cell.

---

# 2
## Ni2Rh (SCAN)

Data for a PBEsol-optimized structure of Ni2Rh.

```
data_Ni2Rh
_chemical_formula_sum 'Ni4 Rh2'
_cell_length_a 2.570
_cell_length_b 2.570
_cell_length_c 12.254
_cell_angle_alpha 90.00
_cell_angle_beta 90.00
_cell_angle_gamma 120.00
_space_group_name_H-M_alt 'P 1'
_space_group_IT_number 1
loop_
_space_group_symop_operation_xyz
'x,y,z'
loop_
_atom_site_label
_atom_site_fract_x
_atom_site_fract_y
_atom_site_fract_z
_atom_site_occupancy
Ni1 0.667 0.333 0.841 1
Ni2 0.000 0.000 0.500 1
Ni3 0.000 0.000 0.000 1
Ni4 0.333 0.667 0.159 1
Rh1 0.667 0.333 0.329 1
Rh2 0.333 0.667 0.671 1
```

## Properties
For the formation energy, the calculation gives 0.05 eV/atom. Its size of the total moment is 4.62 Bohr magnetons per cell. For the total energy, the calculation gives -21.99 eV/atom. The calculation puts the volume at 70 Å³ per cell.

---

# 3
## NiRh4 (SCAN)

Data for a PBEsol-optimized structure of NiRh4.

```
data_NiRh4
_chemical_formula_sum 'Ni1 Rh4'
_cell_length_a 2.662
_cell_length_b 2.662
_cell_length_c 9.301
_cell_angle_alpha 98.23
_cell_angle_beta 98.23
_cell_angle_gamma 90.00
_space_group_name_H-M_alt 'P 1'
_space_group_IT_number 1
loop_
_space_group_symop_operation_xyz
'x,y,z'
loop_
_atom_site_label
_atom_site_fract_x
_atom_site_fract_y
_atom_site_fract_z
_atom_site_occupancy
Rh1 0.198 0.198 0.396 1
Rh2 0.405 0.405 0.811 1
Rh3 0.595 0.595 0.189 1
Rh4 0.802 0.802 0.604 1
Ni1 0.000 0.000 0.000 1
```

## Properties
For the formation energy, the calculation gives 0.04 eV/atom. Its size of the total moment is 0.00 Bohr magnetons per cell. For the total energy, the calculation gives -30.21 eV/atom. The calculation puts the volume at 65 Å³ per cell.

---

# 4
## Ni2Rh (SCAN)

Data for a PBEsol-optimized structure of Ni2Rh.

```
data_Ni2Rh
_chemical_formula_sum 'Ni4 Rh2'
_cell_length_a 2.576
_cell_length_b 4.155
_cell_length_c 6.656
_cell_angle_alpha 90.00
_cell_angle_beta 101.16
_cell_angle_gamma 90.00
_space_group_name_H-M_alt 'P 1'
_space_group_IT_number 1
loop_
_space_group_symop_operation_xyz
'x,y,z'
loop_
_atom_site_label
_atom_site_fract_x
_atom_site_fract_y
_atom_site_fract_z
_atom_site_occupancy
Ni1 0.552 0.750 0.105 1
Ni2 0.105 0.250 0.211 1
Ni3 0.895 0.750 0.789 1
Ni4 0.448 0.250 0.895 1
Rh1 0.219 0.750 0.438 1
Rh2 0.781 0.250 0.562 1
```

## Properties
For the formation energy, the calculation gives 0.08 eV/atom. Its size of the total moment is 4.87 Bohr magnetons per cell. For the total energy, the calculation gives -21.96 eV/atom. The calculation puts the volume at 70 Å³ per cell.